MgZnCu2 | PBE | relaxed

abc: 5.0974 6.1922 9.1310
angles: 90.00 90.00 90.00
Sites, in units of the cell vectors:
Mg1 0.2500 0.0000 0.0907
Mg2 0.2500 0.5000 0.2876
Mg3 0.7500 0.0000 0.9093
Mg4 0.7500 0.5000 0.7124
Zn1 0.2500 0.0000 0.7539
Zn2 0.2500 0.5000 0.7866
Zn3 0.7500 0.0000 0.2461
Zn4 0.7500 0.5000 0.2134
Cu1 0.0000 0.0000 0.5000
Cu2 0.0000 0.5000 0.0000
Cu3 0.2500 0.3122 0.5555
Cu4 0.2500 0.6878 0.5555
Cu5 0.5000 0.0000 0.5000
Cu6 0.5000 0.5000 0.0000
Cu7 0.7500 0.3122 0.4445
Cu8 0.7500 0.6878 0.4445

* calculated volume: 288 Å³/cell
* total magnetic moment: 0.000 Bohr magnetons per cell
* VASP energy: -2.5647 eV per atom